A geometry-optimized ZnCdCo2F8 structure, computed with PBE+U.

The structure in extended XYZ format:
```
12
Lattice="4.8715 0.0000 0.0000 0.0000 6.5862 0.0000 -0.0423 0.0000 4.8860" Properties=species:S:1:pos:R:3 pbc="T T T"
Zn 0.0000 0.0000 0.0000
Cd 0.0000 3.2931 0.0000
Co 2.4146 1.5964 2.4430
Co 2.4146 4.9898 2.4430
F 0.9871 1.5207 0.9879
F 0.9871 5.0655 0.9879
F 1.4502 0.0000 3.3902
F 1.5299 3.2931 3.3114
F 3.2994 3.2931 1.5746
F 3.3790 0.0000 1.4958
F 3.8422 1.5207 3.8980
F 3.8422 5.0655 3.8980
```

Calculated values
E_tot = -4.4641 eV per atom
space group = P2/m, No. 10
spin magnetization = 6.00 μB per formula unit
density = 4.74 g/cm3
crystal system = monoclinic